A geometry-optimized MnCoBr6 structure. Source: the Alexandria database, functional PBE-GGA.

energy relative to the elements, uncorrected	-0.374	eV per atom
total energy	-3.6634	eV per atom
calculated density	4.20	g/cm³
SG	C2/m (12)

Cell: 7.0894 7.0894 6.3104 Å, 99.58 99.58 127.13°
Last column: nearest neighbours and their distance in Å.
Fractional coordinates of all 8 atoms:
Mn1 0.0000 0.0000 0.0000  6 Br 2.50-2.79
Co1 0.5000 0.5000 0.5000  6 Br 2.41-2.44
Br1 0.1246 0.3931 0.2581  1 Co 2.41, 1 Mn 2.50
Br2 0.2658 0.2658 0.7331  1 Co 2.44
Br3 0.3931 0.1246 0.2581  1 Co 2.41, 1 Mn 2.50
Br4 0.6069 0.8754 0.7419  1 Co 2.41, 1 Mn 2.50
Br5 0.7342 0.7342 0.2669  1 Co 2.44
Br6 0.8754 0.6069 0.7419  1 Co 2.41, 1 Mn 2.50